Material: Nb2VH2
Method: DFT, PBE
State: optimized geometry

abc: 6.6714 6.6714 2.7022
angles: 90.00 90.00 90.00
Element x y z (fractional)
H 0.1151 0.6151 0.5000
H 0.6151 0.8849 0.5000
H 0.8849 0.3849 0.5000
H 0.3849 0.1151 0.5000
Nb 0.3541 0.8541 0.0000
Nb 0.8541 0.6459 0.0000
Nb 0.6459 0.1459 0.0000
Nb 0.1459 0.3541 0.0000
V 0.0000 0.0000 0.0000
V 0.5000 0.5000 0.0000

* uncorrected energy: -6.579 eV per atom
* N(E_F): 0.701 states/eV per atom
* crystal system: tetragonal
* calculated volume: 120 Å³ per cell